# KTl2Ag | the Alexandria database | PBEsol | optimized geometry
data_KTl2Ag
_cell_length_a 3.530
_cell_length_b 5.706
_cell_length_c 10.941
_cell_angle_alpha 90.00
_cell_angle_beta 90.00
_cell_angle_gamma 90.00
_space_group_name_H-M_alt 'I m m m'
_space_group_IT_number 71
_space_group_name_Hall '-I 2 2'
loop_
_atom_site_label
_atom_site_type_symbol
_atom_site_fract_x
_atom_site_fract_y
_atom_site_fract_z
K1 K 0.000 0.000 0.000
Tl1 Tl 0.000 0.500 0.212
Ag1 Ag 0.000 0.000 0.500
# - DOS at the Fermi energy (states/eV/cell) = 4.17
# - calculated total energy (eV per atom) = -2.40
# - magnetization (μB/f.u.) = 0.0
# - density (g cm⁻³) = 8.374